Entry from Alexandria via LeMat-Bulk: an optimized crystal structure of La2Tb6HoEr (PBE).

a b c (Å): 8.770 8.770 9.888
angles (deg): 95.22 95.22 118.00
Positions (direct):
La 0.193 0.293 0.042
La 0.293 0.193 0.542
La 0.707 0.807 0.458
La 0.807 0.707 0.958
Tb 0.022 0.581 0.189
Tb 0.123 0.739 0.557
Tb 0.261 0.877 0.943
Tb 0.295 0.503 0.380
Tb 0.419 0.978 0.311
Tb 0.497 0.705 0.120
Tb 0.503 0.295 0.880
Tb 0.581 0.022 0.689
Tb 0.705 0.497 0.620
Tb 0.739 0.123 0.057
Tb 0.877 0.261 0.443
Tb 0.978 0.419 0.811
Ho 0.013 0.987 0.250
Ho 0.987 0.013 0.750
Er 0.404 0.596 0.750
Er 0.596 0.404 0.250

Values from the calculation:
The theoretical density comes out at 7.9 g/cm3. The calculation puts the total DFT energy (no corrections) at -0.1675 hartree per atom. For the formation energy from the elements, the calculation gives 0.119 eV/atom. Its space-group type is No. 15.